# Li3Dy3InS8

An optimized crystal structure of Li3Dy3InS8 (PBE, the Alexandria database).

Cell: 7.808 7.808 7.569 Å, 121.08 90.00 120.00°
Atoms (fractional coordinates):
Li (0.000, 0.000, 0.000)
Li (0.500, 0.500, 0.000)
Li (0.000, 0.500, 0.000)
S (0.250, 0.499, 0.249)
S (0.239, 0.995, 0.250)
S (0.750, 0.501, 0.751)
S (0.755, 0.995, 0.250)
S (0.761, 0.005, 0.750)
S (0.755, 0.511, 0.250)
S (0.245, 0.489, 0.750)
S (0.245, 0.005, 0.750)
Dy (0.500, 0.500, 0.500)
Dy (0.000, 0.500, 0.500)
Dy (0.500, 0.000, 0.500)
In (0.000, 0.000, 0.500)

Results
calculated total energy	-5.17	eV/atom
volume	320.82	Å³/f.u.
ΔE_f (raw)	-1.484	eV per atom